Entry 1:
Below is a relaxed BaMnCl3 crystal, with properties calculated at the PBE-GGA level.

## Properties
Energy relative to the elements, uncorrected, meV per atom: -1401
E_tot, eV per atom: -4.73
Density of states at the Fermi level, states/eV per cell: 3.143
Volume, Å³/cell: 124.9
Energy relative to the lowest polymorph listed for this composition, meV per atom: 0.0

a b c (Å): 4.999 4.999 4.999
angles (deg): 90.00 90.00 90.00
Fractional positions:
Ba: 0.000 0.000 0.000
Mn: 0.500 0.500 0.500
Cl: 0.000 0.500 0.500
Cl: 0.500 0.000 0.500
Cl: 0.500 0.500 0.000

Entry 2:
Below is a relaxed BaMnCl2 crystal, with properties calculated at the PBE-GGA level.

## Properties
Energy relative to the elements, uncorrected, meV per atom: -876
E_tot, eV per atom: -4.57
Density of states at the Fermi level, states/eV per cell: 7.493
Volume, Å³/cell: 385.4
Energy relative to the lowest polymorph listed for this composition, meV per atom: 105.2

a b c (Å): 4.082 4.082 26.713
angles (deg): 90.00 90.00 120.00
Fractional positions:
Ba: 0.000 0.000 0.000
Ba: 0.333 0.667 0.667
Ba: 0.667 0.333 0.333
Mn: 0.000 0.000 0.500
Mn: 0.333 0.667 0.167
Mn: 0.667 0.333 0.833
Cl: 0.000 0.000 0.413
Cl: 0.000 0.000 0.587
Cl: 0.333 0.667 0.080
Cl: 0.333 0.667 0.253
Cl: 0.667 0.333 0.747
Cl: 0.667 0.333 0.920

Entry 3:
Below is a relaxed Ba2MnCl crystal, with properties calculated at the PBE-GGA level.

## Properties
Energy relative to the elements, uncorrected, meV per atom: -405
E_tot, eV per atom: -4.12
Density of states at the Fermi level, states/eV per cell: 10.108
Volume, Å³/cell: 266.8
Energy relative to the lowest polymorph listed for this composition, meV per atom: 107.8

a b c (Å): 8.411 8.423 3.767
angles (deg): 90.00 90.52 90.00
Fractional positions:
Ba: 0.250 0.250 0.000
Ba: 0.250 0.750 0.000
Ba: 0.750 0.250 0.000
Ba: 0.750 0.750 0.000
Mn: 0.000 0.000 0.500
Mn: 0.500 0.500 0.500
Cl: 0.000 0.500 0.500
Cl: 0.500 0.000 0.500

Entry 4:
Below is a relaxed BaMnCl5 crystal, with properties calculated at the PBE-GGA level.

## Properties
Energy relative to the elements, uncorrected, meV per atom: -1611
E_tot, eV per atom: -4.52
Volume, Å³/cell: 375.4

a b c (Å): 6.474 6.474 11.589
angles (deg): 113.59 113.59 60.74
Fractional positions:
Ba: 0.031 0.969 0.500
Ba: 0.969 0.031 0.000
Mn: 0.498 0.508 0.768
Mn: 0.508 0.498 0.268
Cl: 0.090 0.684 0.205
Cl: 0.136 0.488 0.632
Cl: 0.325 0.921 0.792
Cl: 0.458 0.531 0.976
Cl: 0.488 0.136 0.132
Cl: 0.522 0.874 0.360
Cl: 0.531 0.458 0.476
Cl: 0.684 0.090 0.705
Cl: 0.874 0.522 0.860
Cl: 0.921 0.325 0.292

Entry 5:
Below is a relaxed Ba2MnCl crystal, with properties calculated at the PBE-GGA level.

## Properties
Energy relative to the elements, uncorrected, meV per atom: -428
E_tot, eV per atom: -4.14
Density of states at the Fermi level, states/eV per cell: 6.889
Volume, Å³/cell: 297.3
Energy relative to the lowest polymorph listed for this composition, meV per atom: 84.4

a b c (Å): 4.068 4.191 17.442
angles (deg): 90.00 90.00 90.00
Fractional positions:
Ba: 0.000 0.000 0.000
Ba: 0.000 0.500 0.253
Ba: 0.500 0.000 0.753
Ba: 0.500 0.500 0.500
Mn: 0.000 0.000 0.400
Mn: 0.500 0.500 0.900
Cl: 0.000 0.500 0.662
Cl: 0.500 0.000 0.162

Entry 6:
Below is a relaxed Ba3Mn5Cl12 crystal, with properties calculated at the PBE-GGA level.

## Properties
Energy relative to the elements, uncorrected, meV per atom: -1279
E_tot, eV per atom: -4.97
Density of states at the Fermi level, states/eV per cell: 53.941
Volume, Å³/cell: 2125.9

a b c (Å): 14.030 14.030 14.030
angles (deg): 109.47 109.47 109.47
Fractional positions:
Ba: 0.125 0.250 0.375
Ba: 0.125 0.375 0.750
Ba: 0.250 0.375 0.125
Ba: 0.250 0.875 0.625
Ba: 0.375 0.125 0.250
Ba: 0.375 0.750 0.125
Ba: 0.625 0.250 0.875
Ba: 0.625 0.875 0.750
Ba: 0.750 0.125 0.375
Ba: 0.750 0.625 0.875
Ba: 0.875 0.625 0.250
Ba: 0.875 0.750 0.625
Mn: 0.000 0.000 0.000
Mn: 0.000 0.000 0.500
Mn: 0.000 0.500 0.000
Mn: 0.000 0.500 0.500
Mn: 0.125 0.750 0.875
Mn: 0.125 0.875 0.250
Mn: 0.250 0.125 0.875
Mn: 0.250 0.625 0.375
Mn: 0.375 0.250 0.625
Mn: 0.375 0.625 0.750
Mn: 0.500 0.000 0.000
Mn: 0.500 0.000 0.500
Mn: 0.500 0.500 0.000
Mn: 0.500 0.500 0.500
Mn: 0.625 0.375 0.250
Mn: 0.625 0.750 0.375
Mn: 0.750 0.375 0.625
Mn: 0.750 0.875 0.125
Mn: 0.875 0.125 0.750
Mn: 0.875 0.250 0.125
Cl: 0.021 0.201 0.112
Cl: 0.021 0.319 0.908
Cl: 0.089 0.701 0.681
Cl: 0.089 0.888 0.408
Cl: 0.092 0.612 0.411
Cl: 0.092 0.979 0.681
Cl: 0.112 0.021 0.201
Cl: 0.112 0.592 0.911
Cl: 0.181 0.201 0.589
Cl: 0.181 0.479 0.592
Cl: 0.201 0.112 0.021
Cl: 0.201 0.589 0.181
Cl: 0.299 0.319 0.911
Cl: 0.299 0.479 0.388
Cl: 0.319 0.908 0.021
Cl: 0.319 0.911 0.299
Cl: 0.388 0.299 0.479
Cl: 0.388 0.589 0.908
Cl: 0.408 0.089 0.888
Cl: 0.408 0.819 0.521
Cl: 0.411 0.092 0.612
Cl: 0.411 0.819 0.799
Cl: 0.479 0.388 0.299
Cl: 0.479 0.592 0.181
Cl: 0.521 0.408 0.819
Cl: 0.521 0.612 0.701
Cl: 0.589 0.181 0.201
Cl: 0.589 0.908 0.388
Cl: 0.592 0.181 0.479
Cl: 0.592 0.911 0.112
Cl: 0.612 0.411 0.092
Cl: 0.612 0.701 0.521
Cl: 0.681 0.089 0.701
Cl: 0.681 0.092 0.979
Cl: 0.701 0.521 0.612
Cl: 0.701 0.681 0.089
Cl: 0.799 0.411 0.819
Cl: 0.799 0.888 0.979
Cl: 0.819 0.521 0.408
Cl: 0.819 0.799 0.411
Cl: 0.888 0.408 0.089
Cl: 0.888 0.979 0.799
Cl: 0.908 0.021 0.319
Cl: 0.908 0.388 0.589
Cl: 0.911 0.112 0.592
Cl: 0.911 0.299 0.319
Cl: 0.979 0.681 0.092
Cl: 0.979 0.799 0.888

Entry 7:
Below is a relaxed Ba2MnCl crystal, with properties calculated at the PBE-GGA level.

## Properties
Energy relative to the elements, uncorrected, meV per atom: -195
E_tot, eV per atom: -3.91
Density of states at the Fermi level, states/eV per cell: 6.356
Volume, Å³/cell: 555.5
Energy relative to the lowest polymorph listed for this composition, meV per atom: 317.4

a b c (Å): 4.400 4.400 33.138
angles (deg): 90.00 90.00 120.00
Fractional positions:
Ba: 0.000 0.000 0.000
Ba: 0.000 0.000 0.215
Ba: 0.333 0.667 0.667
Ba: 0.333 0.667 0.882
Ba: 0.667 0.333 0.333
Ba: 0.667 0.333 0.549
Mn: 0.000 0.000 0.476
Mn: 0.333 0.667 0.142
Mn: 0.667 0.333 0.809
Cl: 0.000 0.000 0.720
Cl: 0.333 0.667 0.386
Cl: 0.667 0.333 0.053

Entry 8:
Below is a relaxed Ba2MnCl crystal, with properties calculated at the PBE-GGA level.

## Properties
Energy relative to the elements, uncorrected, meV per atom: -327
E_tot, eV per atom: -4.04
Density of states at the Fermi level, states/eV per cell: 15.721
Volume, Å³/cell: 668.5
Energy relative to the lowest polymorph listed for this composition, meV per atom: 185.8

a b c (Å): 8.525 8.525 9.198
angles (deg): 90.00 90.00 90.00
Fractional positions:
Ba: 0.231 0.250 0.125
Ba: 0.250 0.731 0.375
Ba: 0.250 0.769 0.875
Ba: 0.269 0.250 0.625
Ba: 0.731 0.750 0.625
Ba: 0.750 0.231 0.875
Ba: 0.750 0.269 0.375
Ba: 0.769 0.750 0.125
Mn: 0.000 0.000 0.500
Mn: 0.000 0.500 0.750
Mn: 0.500 0.000 0.250
Mn: 0.500 0.500 0.000
Cl: 0.000 0.000 0.000
Cl: 0.000 0.500 0.250
Cl: 0.500 0.000 0.750
Cl: 0.500 0.500 0.500

Entry 9:
Below is a relaxed BaMnCl2 crystal, with properties calculated at the PBE-GGA level.

## Properties
Energy relative to the elements, uncorrected, meV per atom: -831
E_tot, eV per atom: -4.53
Density of states at the Fermi level, states/eV per cell: 13.224
Volume, Å³/cell: 498.5
Energy relative to the lowest polymorph listed for this composition, meV per atom: 150.5

a b c (Å): 6.077 6.077 13.500
angles (deg): 90.00 90.00 90.00
Fractional positions:
Ba: 0.000 0.000 0.000
Ba: 0.000 0.500 0.250
Ba: 0.500 0.000 0.750
Ba: 0.500 0.500 0.500
Mn: 0.000 0.000 0.500
Mn: 0.000 0.500 0.750
Mn: 0.500 0.000 0.250
Mn: 0.500 0.500 0.000
Cl: 0.145 0.250 0.625
Cl: 0.250 0.645 0.875
Cl: 0.250 0.855 0.375
Cl: 0.355 0.250 0.125
Cl: 0.645 0.750 0.125
Cl: 0.750 0.145 0.375
Cl: 0.750 0.355 0.875
Cl: 0.855 0.750 0.625

Entry 10:
Below is a relaxed BaMn2Cl6 crystal, with properties calculated at the PBE-GGA level.

## Properties
Energy relative to the elements, uncorrected, meV per atom: -1527
E_tot, eV per atom: -5.01
Density of states at the Fermi level, states/eV per cell: 0.000
Volume, Å³/cell: 569.3
Energy relative to the lowest polymorph listed for this composition, meV per atom: 0.0

a b c (Å): 9.184 9.184 7.389
angles (deg): 106.30 106.30 78.57
Fractional positions:
Ba: 0.160 0.840 0.750
Ba: 0.840 0.160 0.250
Mn: 0.237 0.371 0.793
Mn: 0.371 0.237 0.293
Mn: 0.629 0.763 0.707
Mn: 0.763 0.629 0.207
Cl: 0.075 0.179 0.655
Cl: 0.148 0.604 0.967
Cl: 0.179 0.075 0.155
Cl: 0.268 0.451 0.520
Cl: 0.396 0.852 0.533
Cl: 0.451 0.268 0.020
Cl: 0.549 0.732 0.980
Cl: 0.604 0.148 0.467
Cl: 0.732 0.549 0.480
Cl: 0.821 0.925 0.845
Cl: 0.852 0.396 0.033
Cl: 0.925 0.821 0.345

Entry 11:
Below is a relaxed Ba2MnCl crystal, with properties calculated at the PBE-GGA level.

## Properties
Energy relative to the elements, uncorrected, meV per atom: -441
E_tot, eV per atom: -4.16
Density of states at the Fermi level, states/eV per cell: 7.399
Volume, Å³/cell: 280.5
Energy relative to the lowest polymorph listed for this composition, meV per atom: 71.2

a b c (Å): 5.371 4.042 12.920
angles (deg): 90.00 90.00 90.00
Fractional positions:
Ba: 0.000 0.000 0.000
Ba: 0.000 0.500 0.500
Ba: 0.500 0.000 0.266
Ba: 0.500 0.500 0.766
Mn: 0.500 0.000 0.520
Mn: 0.500 0.500 0.020
Cl: 0.000 0.000 0.748
Cl: 0.000 0.500 0.248

Entry 12:
Below is a relaxed BaMnCl2 crystal, with properties calculated at the PBE-GGA level.

## Properties
Energy relative to the elements, uncorrected, meV per atom: -943
E_tot, eV per atom: -4.64
Density of states at the Fermi level, states/eV per cell: 0.715
Volume, Å³/cell: 224.7
Energy relative to the lowest polymorph listed for this composition, meV per atom: 39.0

a b c (Å): 4.605 5.693 8.572
angles (deg): 90.00 90.00 90.00
Fractional positions:
Ba: 0.000 0.000 0.000
Ba: 0.500 0.500 0.500
Mn: 0.000 0.000 0.500
Mn: 0.500 0.500 0.000
Cl: 0.000 0.500 0.220
Cl: 0.000 0.500 0.780
Cl: 0.500 0.000 0.280
Cl: 0.500 0.000 0.720